#1
Computed, not measured: a relaxed CsHfH3 crystal at the GGA-PBE level of DFT.

Cell and atoms, written as POSCAR:
```
CsHfH3
1.0
-5.312 -4.428 3.168
0.250 -2.205 -2.663
5.202 -2.042 2.180
H Cs Hf
6 2 2
Direct
0.729 0.500 0.507
0.388 0.500 0.729
0.388 0.000 0.229
0.729 0.000 0.007
0.569 0.500 0.122
0.569 0.000 0.622
0.153 0.000 0.486
0.153 0.500 0.986
0.642 0.000 0.312
0.642 0.500 0.812
```

Calculated values
Spin magnetization = 0.0 Bohr magnetons per cell

#2
Computed, not measured: a relaxed CsHfH3 crystal at the GGA-PBE level of DFT.

Cell and atoms, written as POSCAR:
```
CsHfH3
1.0
7.058 0.000 0.000
0.000 3.422 0.000
0.000 0.000 5.934
Cs Hf H
2 2 6
Direct
0.500 0.500 0.435
0.500 0.000 0.935
0.000 0.000 0.267
0.000 0.500 0.767
0.149 0.500 0.099
0.000 0.000 0.933
0.149 0.000 0.599
0.851 0.000 0.599
0.000 0.500 0.433
0.851 0.500 0.099
```

Calculated values
Spin magnetization = 0.0 Bohr magnetons per cell

Q: Which of them is the most stable? A: #1.

#1
Computed, not measured: a relaxed CsHfH3 crystal at the GGA-PBE level of DFT.

Cell and atoms, written as POSCAR:
```
CsHfH3
1.0
7.020 0.000 -0.001
0.000 4.146 0.000
-0.047 0.000 5.255
H Hf Cs
6 2 2
Direct
0.649 0.000 0.982
0.912 0.253 0.114
0.912 0.747 0.114
0.912 0.247 0.614
0.912 0.753 0.614
0.649 0.500 0.482
0.758 0.500 0.855
0.758 0.000 0.355
0.250 0.000 0.866
0.250 0.500 0.366
```

Calculated values
Spin magnetization = 0.8 Bohr magnetons per cell

#2
Computed, not measured: a relaxed CsHfH3 crystal at the GGA-PBE level of DFT.

Cell and atoms, written as POSCAR:
```
CsHfH3
1.0
-0.728 2.375 -2.321
1.020 -0.419 -3.215
-6.093 -2.746 -3.335
H Hf Cs
3 1 1
Direct
0.657 0.698 0.217
0.277 0.319 0.354
0.373 0.414 0.068
0.998 0.039 0.196
0.500 0.541 0.683
```

Calculated values
Spin magnetization = 0.0 Bohr magnetons per cell

#3
Computed, not measured: a relaxed CsHfH3 crystal at the GGA-PBE level of DFT.

Cell and atoms, written as POSCAR:
```
CsHfH3
1.0
3.410 0.000 0.000
0.000 3.410 0.000
0.000 0.000 7.093
H Hf Cs
3 1 1
Direct
0.000 0.000 0.721
0.500 0.000 0.301
0.000 0.500 0.301
0.000 0.000 0.450
0.500 0.500 0.946
```

Calculated values
Spin magnetization = 0.0 Bohr magnetons per cell

Q: Which of them is the most stable? A: #3.

#1
Computed, not measured: a relaxed CsHfH3 crystal at the GGA-PBE level of DFT.

Cell and atoms, written as POSCAR:
```
CsHfH3
1.0
3.651 0.000 0.000
0.000 3.303 0.000
0.000 0.000 13.499
Cs H Hf
2 6 2
Direct
0.500 0.000 0.047
0.500 0.500 0.547
0.000 0.000 0.888
0.000 0.000 0.706
0.500 0.500 0.860
0.500 0.000 0.360
0.000 0.500 0.206
0.000 0.500 0.388
0.000 0.000 0.304
0.000 0.500 0.804
```

Calculated values
Spin magnetization = 1.9 Bohr magnetons per cell

#2
Computed, not measured: a relaxed CsHfH3 crystal at the GGA-PBE level of DFT.

Cell and atoms, written as POSCAR:
```
CsHfH3
1.0
3.410 0.000 0.000
-1.705 2.953 0.000
0.000 0.000 21.836
Hf H Cs
3 9 3
Direct
0.667 0.333 0.542
0.000 0.000 0.208
0.333 0.667 0.875
0.000 0.000 0.506
0.667 0.333 0.840
0.667 0.333 0.929
0.333 0.667 0.789
0.333 0.667 0.173
0.000 0.000 0.122
0.000 0.000 0.595
0.667 0.333 0.456
0.333 0.667 0.262
0.667 0.333 0.709
0.000 0.000 0.375
0.333 0.667 0.042
```

Calculated values
Spin magnetization = 0.0 Bohr magnetons per cell

#3
Computed, not measured: a relaxed CsHfH3 crystal at the GGA-PBE level of DFT.

Cell and atoms, written as POSCAR:
```
CsHfH3
1.0
4.753 0.000 0.000
0.000 4.753 0.000
0.000 0.000 4.753
Cs H Hf
1 3 1
Direct
0.000 0.000 0.000
0.500 0.000 0.000
0.000 0.000 0.500
0.000 0.500 0.000
0.500 0.500 0.500
```

Calculated values
Spin magnetization = 1.0 Bohr magnetons per cell

Q: Which of them is the most stable? A: #1.

#1
Computed, not measured: a relaxed Cs2HgH2 crystal at the GGA-PBE level of DFT.

Cell and atoms, written as POSCAR:
```
Cs2HgH2
1.0
5.555 0.000 0.000
0.000 5.555 0.000
2.777 2.777 6.242
H Cs Hg
2 2 1
Direct
0.250 0.750 0.500
0.750 0.250 0.500
0.333 0.333 0.334
0.667 0.667 0.666
0.000 0.000 0.000
```

Calculated values
Spin magnetization = 0.0 Bohr magnetons per cell

#2
Computed, not measured: a relaxed Cs2HgH2 crystal at the GGA-PBE level of DFT.

Cell and atoms, written as POSCAR:
```
Cs2HgH2
1.0
-4.944 1.265 -7.032
-7.141 -1.152 4.814
-0.107 3.935 0.783
Hg H Cs
2 4 4
Direct
0.000 0.000 0.000
0.500 0.500 0.000
0.853 0.647 0.000
0.147 0.353 0.000
0.353 0.853 0.000
0.647 0.147 0.000
0.153 0.653 0.500
0.653 0.847 0.500
0.347 0.153 0.500
0.847 0.347 0.500
```

Calculated values
Spin magnetization = 0.0 Bohr magnetons per cell

#3
Computed, not measured: a relaxed Cs2HgH2 crystal at the GGA-PBE level of DFT.

Cell and atoms, written as POSCAR:
```
Cs2HgH2
1.0
-5.550 -1.115 7.319
7.309 -2.283 5.194
0.491 3.701 0.936
H Cs Hg
4 4 2
Direct
0.646 0.854 0.500
0.146 0.646 0.500
0.854 0.354 0.500
0.354 0.146 0.500
0.357 0.857 0.000
0.143 0.357 0.000
0.857 0.643 0.000
0.643 0.143 0.000
0.000 0.000 0.000
0.500 0.500 0.000
```

Calculated values
Spin magnetization = 0.0 Bohr magnetons per cell

Q: Which of them is the most stable? A: #2.

#1
Computed, not measured: a relaxed Cs2HgH crystal at the GGA-PBE level of DFT.

Cell and atoms, written as POSCAR:
```
Cs2HgH
1.0
5.049 0.000 0.000
0.000 4.851 -0.862
0.000 -0.005 14.057
Hg Cs H
2 4 2
Direct
0.750 0.531 0.062
0.250 0.469 0.938
0.750 0.918 0.836
0.750 0.694 0.388
0.250 0.082 0.164
0.250 0.306 0.612
0.250 0.198 0.395
0.750 0.802 0.605
```

Calculated values
Spin magnetization = 0.0 Bohr magnetons per cell

#2
Computed, not measured: a relaxed Cs2HgH crystal at the GGA-PBE level of DFT.

Cell and atoms, written as POSCAR:
```
Cs2HgH
1.0
-2.155 -0.857 -3.422
3.290 -1.937 -1.587
-2.772 -7.725 3.681
Cs Hg H
2 1 1
Direct
0.000 0.000 0.211
0.000 0.000 0.789
0.500 0.500 0.500
0.500 0.500 0.000
```

Calculated values
Spin magnetization = 0.0 Bohr magnetons per cell

Q: Which of them is the most stable? A: #1.

#1
Computed, not measured: a relaxed Cs2HgH crystal at the GGA-PBE level of DFT.

Cell and atoms, written as POSCAR:
```
Cs2HgH
1.0
4.618 0.000 0.000
2.309 4.000 0.000
2.308 1.333 9.097
Hg Cs H
1 2 1
Direct
0.500 0.500 0.500
0.268 0.268 0.197
0.065 0.065 0.804
0.667 0.667 0.000
```

Calculated values
Spin magnetization = 0.0 Bohr magnetons per cell

#2
Computed, not measured: a relaxed Cs2HgH crystal at the GGA-PBE level of DFT.

Cell and atoms, written as POSCAR:
```
Cs2HgH
1.0
2.162 -5.313 -2.366
-1.951 -5.432 2.278
-3.721 -3.628 -3.389
Cs H Hg
2 1 1
Direct
0.250 0.250 0.250
0.750 0.750 0.750
0.000 0.000 0.000
0.500 0.500 0.500
```

Calculated values
Spin magnetization = 0.0 Bohr magnetons per cell

#3
Computed, not measured: a relaxed Cs2HgH crystal at the GGA-PBE level of DFT.

Cell and atoms, written as POSCAR:
```
Cs2HgH
1.0
-1.858 -2.630 8.398
8.125 -3.809 0.605
4.879 0.762 6.134
Hg Cs H
2 4 2
Direct
0.750 0.250 0.500
0.000 0.000 0.000
0.215 0.625 0.250
0.375 0.465 0.750
0.875 0.785 0.750
0.535 0.125 0.250
0.250 0.750 0.500
0.500 0.500 0.000
```

Calculated values
Spin magnetization = 0.0 Bohr magnetons per cell

Q: Which of them is the most stable? A: #1.

#1
Computed, not measured: a relaxed CsHgH2 crystal at the GGA-PBE level of DFT.

Cell and atoms, written as POSCAR:
```
CsHgH2
1.0
5.557 0.000 0.000
0.000 5.557 0.000
2.778 2.778 5.813
H Cs Hg
4 2 2
Direct
0.877 0.625 0.250
0.873 0.125 0.250
0.875 0.123 0.750
0.375 0.127 0.750
0.250 0.750 0.500
0.500 0.500 0.000
0.000 0.000 0.000
0.750 0.250 0.500
```

Calculated values
Spin magnetization = 0.0 Bohr magnetons per cell

#2
Computed, not measured: a relaxed CsHgH2 crystal at the GGA-PBE level of DFT.

Cell and atoms, written as POSCAR:
```
CsHgH2
1.0
-1.832 2.686 -6.684
-5.537 0.165 1.584
1.677 4.184 5.427
H Hg Cs
4 2 2
Direct
0.449 0.685 0.404
0.551 0.315 0.596
0.551 0.185 0.596
0.449 0.815 0.404
0.949 0.250 0.394
0.051 0.750 0.606
0.720 0.750 0.942
0.280 0.250 0.058
```

Calculated values
Spin magnetization = 0.0 Bohr magnetons per cell

Q: Which of them is the most stable? A: #2.

#1
Computed, not measured: a relaxed Cs2HgH6 crystal at the GGA-PBE level of DFT.

Cell and atoms, written as POSCAR:
```
Cs2HgH6
1.0
-3.580 2.329 -2.838
-1.586 -5.839 -2.544
-4.455 -4.139 2.469
H Cs Hg
6 2 1
Direct
0.208 0.813 0.813
0.202 0.855 0.247
0.798 0.753 0.145
0.202 0.247 0.855
0.798 0.145 0.753
0.792 0.187 0.187
0.711 0.679 0.679
0.289 0.321 0.321
0.000 0.000 0.000
```

Calculated values
Spin magnetization = 0.0 Bohr magnetons per cell

#2
Computed, not measured: a relaxed Cs2HgH6 crystal at the GGA-PBE level of DFT.

Cell and atoms, written as POSCAR:
```
Cs2HgH6
1.0
5.811 0.198 0.159
3.456 6.588 0.545
3.456 1.962 6.313
H Hg Cs
6 1 2
Direct
0.443 0.743 0.256
0.749 0.262 0.879
0.749 0.879 0.262
0.335 0.744 0.227
0.335 0.227 0.744
0.443 0.256 0.743
0.973 0.931 0.931
0.205 0.258 0.258
0.767 0.700 0.700
```

Calculated values
Spin magnetization = 0.0 Bohr magnetons per cell

Q: Which of them is the most stable? A: #2.

#1
Computed, not measured: a relaxed Cs2Hg2H crystal at the GGA-PBE level of DFT.

Cell and atoms, written as POSCAR:
```
Cs2Hg2H
1.0
-4.247 0.559 -5.997
4.922 -3.907 -3.850
-1.861 -5.616 -3.734
Cs Hg H
2 2 1
Direct
0.250 0.750 0.500
0.750 0.250 0.500
0.773 0.773 0.454
0.227 0.227 0.546
0.000 0.000 0.000
```

Calculated values
Spin magnetization = 0.0 Bohr magnetons per cell

#2
Computed, not measured: a relaxed Cs2Hg2H crystal at the GGA-PBE level of DFT.

Cell and atoms, written as POSCAR:
```
Cs2Hg2H
1.0
4.346 0.000 0.000
0.000 4.346 0.000
2.173 2.173 10.258
Cs Hg H
2 2 1
Direct
0.593 0.593 0.814
0.407 0.407 0.186
0.250 0.750 0.500
0.750 0.250 0.500
0.000 0.000 0.000
```

Calculated values
Spin magnetization = 0.0 Bohr magnetons per cell

Q: Which of them is the most stable? A: #2.

#1
Computed, not measured: a relaxed CsHg2H2 crystal at the GGA-PBE level of DFT.

Cell and atoms, written as POSCAR:
```
CsHg2H2
1.0
-0.146 3.502 -4.044
6.728 -3.481 -3.114
-2.133 -2.908 0.945
H Hg Cs
2 2 1
Direct
0.412 0.828 0.823
0.588 0.172 0.177
0.700 0.408 0.398
0.300 0.592 0.602
0.000 0.000 0.000
```

Calculated values
Spin magnetization = 0.0 Bohr magnetons per cell

#2
Computed, not measured: a relaxed CsHg2H2 crystal at the GGA-PBE level of DFT.

Cell and atoms, written as POSCAR:
```
CsHg2H2
1.0
4.632 0.000 0.000
0.000 4.632 0.000
2.316 2.316 5.170
Hg H Cs
2 2 1
Direct
0.340 0.340 0.320
0.660 0.660 0.680
0.750 0.250 0.500
0.250 0.750 0.500
0.000 0.000 0.000
```

Calculated values
Spin magnetization = 0.0 Bohr magnetons per cell

Q: Which of them is the most stable? A: #1.

#1
Computed, not measured: a relaxed CsK2HgH crystal at the GGA-PBE level of DFT.

Cell and atoms, written as POSCAR:
```
CsK2HgH
1.0
5.641 0.000 0.000
0.000 5.641 0.000
0.000 0.000 7.185
K H Hg Cs
2 1 1 1
Direct
0.000 0.500 0.000
0.500 0.000 0.000
0.000 0.000 0.000
0.000 0.000 0.500
0.500 0.500 0.500
```

Calculated values
Spin magnetization = 0.0 Bohr magnetons per cell

#2
Computed, not measured: a relaxed CsK2HgH crystal at the GGA-PBE level of DFT.

Cell and atoms, written as POSCAR:
```
CsK2HgH
1.0
-0.580 -0.212 -5.525
4.763 -2.841 -0.391
-3.149 -5.354 0.536
K Hg H Cs
2 1 1 1
Direct
0.500 0.000 0.000
0.000 0.500 0.000
0.500 0.500 0.500
0.000 0.000 0.000
0.000 0.000 0.500
```

Calculated values
Spin magnetization = 0.3 Bohr magnetons per cell

Q: Which of them is the most stable? A: #2.